(1)
{
  "formula": "Sc5Au4",
  "functional": "PBE",
  "state": "relaxed",
  "n_ef_per_ev_atom": 1.118,
  "formation_energy_ev_per_atom": -0.51,
  "cell": [[-4.485, 4.485, 2.233], [4.485, -4.485, 2.233], [4.485, 4.485, -2.233]],
  "species": ["Sc", "Sc", "Sc", "Sc", "Sc", "Au", "Au", "Au", "Au"],
  "fractional_positions": [[0.000, 0.000, 0.000], [0.327, 0.327, 0.654], [0.327, 0.673, 0.000], [0.673, 0.327, 0.000], [0.673, 0.673, 0.346], [0.000, 0.321, 0.321], [0.000, 0.679, 0.679], [0.321, 0.000, 0.321], [0.679, 0.000, 0.679]]
}

=====

(2)
{
  "formula": "ReAsW2",
  "functional": "PBE",
  "state": "relaxed",
  "n_ef_per_ev_atom": 0.632,
  "formation_energy_ev_per_atom": 0.31,
  "cell": [[2.883, 0.000, 0.000], [0.000, 4.417, 0.000], [-1.220, 0.000, 4.965]],
  "species": ["Re", "As", "W", "W"],
  "fractional_positions": [[0.000, 0.000, 0.000], [0.952, 0.500, 0.751], [0.439, 0.000, 0.502], [0.653, 0.500, 0.232]]
}

=====

(3)
{
  "formula": "ZrCrSiTc2",
  "functional": "PBE",
  "state": "relaxed",
  "n_ef_per_ev_atom": 1.036,
  "formation_energy_uncorrected_ev_per_atom": 1.9951,
  "cell": [[4.751, 0.000, 0.000], [0.000, 4.751, 0.000], [0.000, 0.000, 4.727]],
  "species": ["Zr", "Cr", "Si", "Tc", "Tc"],
  "fractional_positions": [[0.000, 0.000, 0.000], [0.000, 0.000, 0.500], [0.500, 0.500, 0.500], [0.000, 0.500, 0.000], [0.500, 0.000, 0.000]]
}

=====

(4)
{
  "formula": "TlAg2Sb",
  "functional": "PBE",
  "state": "relaxed",
  "n_ef_per_ev_atom": 0.770,
  "formation_energy_uncorrected_ev_per_atom": 0.2437,
  "cell": [[0.000, 3.620, 3.620], [3.620, 0.000, 3.620], [3.620, 3.620, 0.000]],
  "species": ["Tl", "Ag", "Ag", "Sb"],
  "fractional_positions": [[0.000, 0.000, 0.000], [0.250, 0.250, 0.250], [0.500, 0.500, 0.500], [0.750, 0.750, 0.750]]
}